# AcH2AuF8 (PBE, relaxed)
# Total energy = -4.65 eV per atom
# Density = 5.99 Mg/m³
# DOS(E_F) = 0.00 states/eV/atom
data_AcH2AuF8
_chemical_formula_sum 'Ac1 H2 Au1 F8'
_symmetry_space_group_name_H-M 'P -1'
_symmetry_Int_Tables_number 2
_symmetry_space_group_name_Hall '-P 1'
_cell_length_a 4.329
_cell_length_b 4.640
_cell_length_c 8.962
_cell_angle_alpha 94.69
_cell_angle_beta 97.23
_cell_angle_gamma 114.85
loop_
_atom_site_label
_atom_site_fract_x
_atom_site_fract_y
_atom_site_fract_z
Ac1 0.000 0.000 0.000
H1 0.454 0.461 0.736
Au1 0.000 0.000 0.500
F1 0.109 0.219 0.716
F2 0.280 0.788 0.577
F3 0.296 0.388 0.250
F4 0.340 0.686 0.987

***

# ScRe3Pt (PBE, relaxed)
# Energy above the lowest structure with this stoichiometry = 474 meV/atom
# ΔH_f (0 K) = 227.78 kJ/mol of atoms
# Total energy = -7.58 eV per atom
# Density = 14.36 Mg/m³
# DOS(E_F) = 0.72 states/eV/atom
data_ScRe3Pt
_chemical_formula_sum 'Sc1 Re3 Pt1'
_symmetry_space_group_name_H-M 'P m -3 m'
_symmetry_Int_Tables_number 221
_symmetry_space_group_name_Hall '-P 4 2 3'
_cell_length_a 4.521
_cell_length_b 4.521
_cell_length_c 4.521
_cell_angle_alpha 90.00
_cell_angle_beta 90.00
_cell_angle_gamma 90.00
loop_
_atom_site_label
_atom_site_fract_x
_atom_site_fract_y
_atom_site_fract_z
Sc1 0.000 0.000 0.000
Re1 0.000 0.000 0.500
Pt1 0.500 0.500 0.500

***

# Hf6ZnSn (PBE, relaxed)
# ΔH_f (0 K) = 27.21 kJ/mol of atoms
# Total energy = -7.84 eV per atom
# Density = 11.52 Mg/m³
# DOS(E_F) = 1.10 states/eV/atom
data_Hf6ZnSn
_chemical_formula_sum 'Hf12 Zn2 Sn2'
_symmetry_space_group_name_H-M 'C 1 2/m 1'
_symmetry_Int_Tables_number 12
_symmetry_space_group_name_Hall '-C 2y'
_cell_length_a 6.179
_cell_length_b 11.026
_cell_length_c 6.026
_cell_angle_alpha 90.00
_cell_angle_beta 118.22
_cell_angle_gamma 90.00
loop_
_atom_site_label
_atom_site_fract_x
_atom_site_fract_y
_atom_site_fract_z
Hf1 0.010 0.224 0.260
Hf2 0.016 0.500 0.261
Zn1 0.000 0.000 0.500
Sn1 0.000 0.000 0.000

***

# PmPr2HoH (PBE, relaxed)
# Total energy = -4.62 eV per atom
# Density = 7.25 Mg/m³
# DOS(E_F) = 0.83 states/eV/atom
data_PmPr2HoH
_chemical_formula_sum 'Pm1 Pr2 Ho1 H1'
_symmetry_space_group_name_H-M 'P 4/m m m'
_symmetry_Int_Tables_number 123
_symmetry_space_group_name_Hall '-P 4 2'
_cell_length_a 5.172
_cell_length_b 5.172
_cell_length_c 5.076
_cell_angle_alpha 90.00
_cell_angle_beta 90.00
_cell_angle_gamma 90.00
loop_
_atom_site_label
_atom_site_fract_x
_atom_site_fract_y
_atom_site_fract_z
Pm1 0.000 0.000 0.000
Pr1 0.000 0.500 0.500
Ho1 0.500 0.500 0.000
H1 0.500 0.500 0.500